# 1
# PBE K2ZrGaS4, optimized geometry
# - ΔE_f (raw) (eV/atom) = -1.090
# - calculated total energy (eV per cell) = -312.01
data_K2ZrGaS4
_chemical_formula_sum 'K16 Zr8 Ga8 S32'
_symmetry_space_group_name_H-M 'F d d d'
_symmetry_Int_Tables_number 70
_cell_length_a 6.450
_cell_length_b 13.743
_cell_length_c 23.028
_cell_angle_alpha 90.00
_cell_angle_beta 90.00
_cell_angle_gamma 90.00
loop_
_symmetry_equiv_pos_as_xyz
'x,y,z'
'-x,-y,-z'
'-x+1/4,-y+1/4,z'
'x+1/4,y+1/4,-z'
'x,-y+1/4,-z+1/4'
'-x,y+1/4,z+1/4'
'-x+1/4,y,-z+1/4'
'x+1/4,-y,z+1/4'
'x,y+1/2,z+1/2'
'-x,-y+1/2,-z+1/2'
'-x+1/4,-y+3/4,z+1/2'
'x+1/4,y+3/4,-z+1/2'
'x,-y+3/4,-z+3/4'
'-x,y+3/4,z+3/4'
'-x+1/4,y+1/2,-z+3/4'
'x+1/4,-y+1/2,z+3/4'
'x+1/2,y,z+1/2'
'-x+1/2,-y,-z+1/2'
'-x+3/4,-y+1/4,z+1/2'
'x+3/4,y+1/4,-z+1/2'
'x+1/2,-y+1/4,-z+3/4'
'-x+1/2,y+1/4,z+3/4'
'-x+3/4,y,-z+3/4'
'x+3/4,-y,z+3/4'
'x+1/2,y+1/2,z'
'-x+1/2,-y+1/2,-z'
'-x+3/4,-y+3/4,z'
'x+3/4,y+3/4,-z'
'x+1/2,-y+3/4,-z+1/4'
'-x+1/2,y+3/4,z+1/4'
'-x+3/4,y+1/2,-z+1/4'
'x+3/4,-y+1/2,z+1/4'
loop_
_atom_site_label
_atom_site_fract_x
_atom_site_fract_y
_atom_site_fract_z
K1 0.125 0.125 0.307
Zr1 0.125 0.125 0.125
Ga1 0.125 0.125 0.625
S1 0.121 0.279 0.822

---

# 2
# PBE KGaSb, optimized geometry
# - distance to the lowest polymorph of the same formula (eV per atom) = 0.061
# - ΔE_f (raw) (eV/atom) = -0.288
# - calculated total energy (eV per cell) = -36.44
data_KGaSb
_chemical_formula_sum 'K4 Ga4 Sb4'
_symmetry_space_group_name_H-M 'C 1 m 1'
_symmetry_Int_Tables_number 8
_symmetry_space_group_name_Hall 'C -2y'
_cell_length_a 12.618
_cell_length_b 4.358
_cell_length_c 9.311
_cell_angle_alpha 90.00
_cell_angle_beta 128.94
_cell_angle_gamma 90.00
loop_
_atom_site_label
_atom_site_fract_x
_atom_site_fract_y
_atom_site_fract_z
K1 0.000 0.000 0.000
K2 0.063 0.500 0.670
Ga1 0.135 0.000 0.449
Ga2 0.364 0.500 0.267
Sb1 0.277 0.500 0.479
Sb2 0.301 0.000 0.057

---

# 3
# PBE KGa3Sb, optimized geometry
# - ΔE_f (raw) (eV/atom) = 0.307
# - calculated total energy (eV per cell) = -12.77
data_KGa3Sb
_chemical_formula_sum 'K1 Ga3 Sb1'
_symmetry_space_group_name_H-M 'P m -3 m'
_symmetry_Int_Tables_number 221
_symmetry_space_group_name_Hall '-P 4 2 3'
_cell_length_a 5.532
_cell_length_b 5.532
_cell_length_c 5.532
_cell_angle_alpha 90.00
_cell_angle_beta 90.00
_cell_angle_gamma 90.00
loop_
_atom_site_label
_atom_site_fract_x
_atom_site_fract_y
_atom_site_fract_z
K1 0.000 0.000 0.000
Ga1 0.000 0.500 0.500
Sb1 0.500 0.500 0.500

---

Among the records above, which one has the highest ΔE_f (raw)? KGa3Sb

---

Look up the calculated total energy of the second one. -36.44 eV per cell

---

Number 3 is which compound? KGa3Sb

---

Among the records above, which one has the highest ΔE_f (raw)? KGa3Sb